Record 1
Entry from the Alexandria database: a relaxed structure of KTlCd2Ag (PBE).

Summary:
symmetry = P4/mmm (123)
total magnetic moment = 0.00 μB/f.u.
energy = -7.9 eV/cell

abc: 5.4412 5.4412 5.5893
angles: 90.00 90.00 90.00
Closest atoms and distances in Å follow each position.
Atoms (fractional coordinates):
1 K 0.0000 0.0000 0.0000  4 Tl 3.85, 8 Cd 3.90
2 Tl 0.5000 0.5000 0.0000  2 Ag 2.79
3 Cd 0.0000 0.5000 0.5000  2 Ag 2.72
4 Cd 0.5000 0.0000 0.5000  2 Ag 2.72
5 Ag 0.5000 0.5000 0.5000  4 Cd 2.72, 2 Tl 2.79

=====

Record 2
Entry from the Alexandria database: a relaxed structure of KTl2CdAg (PBE).

Summary:
symmetry = P4/mmm (123)
total magnetic moment = 0.00 μB/f.u.
energy = -9.2 eV/cell

abc: 5.6141 5.6141 5.4743
angles: 90.00 90.00 90.00
Closest atoms and distances in Å follow each position.
Atoms (fractional coordinates):
1 K 0.0000 0.0000 0.0000  8 Tl 3.92, 4 Cd 3.97
2 Tl 0.0000 0.5000 0.5000  2 Ag 2.81
3 Tl 0.5000 0.0000 0.5000  2 Ag 2.81
4 Cd 0.5000 0.5000 0.0000  2 Ag 2.74
5 Ag 0.5000 0.5000 0.5000  2 Cd 2.74, 4 Tl 2.81